Material: YBeAlNi
Method: DFT, GGA-PBE
State: relaxed

Summary:
Polymorph energy (0 for the lowest one): 0 meV/atom

Cell and atoms, written as POSCAR:
```
YBeAlNi
1.0
0.0000 3.1361 3.1361
3.1361 0.0000 3.1361
3.1361 3.1361 0.0000
Y Be Al Ni
1 1 1 1
Cartesian
0.0000 0.0000 0.0000
4.7042 4.7042 4.7042
3.1361 3.1361 3.1361
1.5681 1.5681 1.5681
```

Material: BaPt2O4
Method: DFT, GGA-PBE
State: relaxed

Summary:
Polymorph energy (0 for the lowest one): 0 meV/atom

Cell and atoms, written as POSCAR:
```
BaPt2O4
1.0
6.1081 2.6250 1.7556
-2.0373 6.2535 2.0063
-2.5812 -5.9518 2.2794
O Pt Ba
8 4 2
Cartesian
2.3503 5.8593 4.3033
4.5018 3.5755 2.4165
-2.9449 -2.5478 3.0852
1.1077 3.4057 4.1584
0.8489 0.7958 3.3177
0.0561 -1.1898 1.5817
-2.6862 0.0621 3.9259
2.7251 1.7461 1.3763
2.1354 1.7415 4.4996
4.4447 1.5906 2.3568
1.3906 0.2781 1.4790
3.1541 -1.3853 3.4965
2.0354 4.4393 1.8809
-1.2915 2.3705 3.0833
```

Material: LiNbSiOs
Method: DFT, GGA-PBE
State: relaxed

Summary:
Polymorph energy (0 for the lowest one): 0 meV/atom

Cell and atoms, written as POSCAR:
```
LiNbSiOs
1.0
4.2924 0.0000 0.0000
0.0000 4.2924 0.0000
0.0000 0.0000 6.0700
Nb Os Li Si
2 2 2 2
Cartesian
0.0000 0.0000 3.0350
2.1462 2.1462 0.0000
0.0000 2.1462 1.5175
2.1462 0.0000 4.5525
2.1462 0.0000 1.5130
0.0000 2.1462 4.5571
0.0000 0.0000 0.0000
2.1462 2.1462 3.0350
```

Material: GaCuPdW
Method: DFT, GGA-PBE
State: relaxed

Summary:
Polymorph energy (0 for the lowest one): 43 meV/atom

Cell and atoms, written as POSCAR:
```
GaCuPdW
1.0
0.0000 3.0888 3.0888
3.0888 0.0000 3.0888
3.0888 3.0888 0.0000
Cu Ga W Pd
1 1 1 1
Cartesian
4.6332 4.6332 4.6332
0.0000 0.0000 0.0000
3.0888 3.0888 3.0888
1.5444 1.5444 1.5444
```

Material: LiCuPdSe2S
Method: DFT, GGA-PBE
State: relaxed

Cell and atoms, written as POSCAR:
```
LiCuPdSe2S
1.0
1.8469 -5.9541 0.0000
1.8469 5.9541 0.0000
0.0000 0.0000 9.6727
Se Pd Li S Cu
4 2 2 2 2
Cartesian
1.8469 4.1757 9.3634
1.8469 -4.1757 0.3093
1.8469 4.1757 5.1456
1.8469 -4.1757 4.5271
1.8469 0.0000 0.0000
1.8469 0.0000 4.8363
1.8469 -3.2880 7.2545
1.8469 3.2880 2.4182
1.8469 0.7782 7.2545
1.8469 -0.7782 2.4182
1.8469 -5.3448 2.4182
1.8469 5.3448 7.2545
```

Material: TaCoB
Method: DFT, GGA-PBE
State: relaxed

Cell and atoms, written as POSCAR:
```
TaCoB
1.0
5.8250 0.0000 0.0000
0.0000 3.3280 0.0000
0.0000 0.0000 6.7697
Co Ta B
4 4 4
Cartesian
2.0729 2.4960 2.9778
3.7521 0.8320 3.7920
0.8396 0.8320 6.3626
4.9854 2.4960 0.4071
0.1465 0.8320 2.1541
5.6785 2.4960 4.6156
3.0590 0.8320 1.2307
2.7660 2.4960 5.5390
4.4895 0.8320 5.9496
4.2481 2.4960 2.5647
1.5769 0.8320 4.2050
1.3355 2.4960 0.8201
```

Material: TbTe
Method: DFT, GGA-PBE
State: relaxed

Cell and atoms, written as POSCAR:
```
TbTe
1.0
0.0000 3.0885 3.0885
3.0885 0.0000 3.0885
3.0885 3.0885 0.0000
Te Tb
1 1
Cartesian
3.0885 3.0885 3.0885
0.0000 0.0000 0.0000
```

Material: NaTbMgS3
Method: DFT, GGA-PBE
State: relaxed

Summary:
Polymorph energy (0 for the lowest one): 5 meV/atom

Cell and atoms, written as POSCAR:
```
NaTbMgS3
1.0
-7.3707 -1.6848 -2.3356
-0.2621 -2.8356 2.8727
-0.7874 7.5552 7.3858
Na Mg S Tb
2 2 6 2
Cartesian
-6.9849 3.0218 6.6172
-1.4352 0.0130 1.3057
-7.4638 -0.7942 2.8067
-0.9564 3.8290 5.1162
-2.2043 1.8841 5.9304
-6.2159 1.1507 1.9925
-1.3425 5.5522 6.7819
-7.0777 -2.5174 1.1410
-3.4568 -1.8924 2.0883
-4.9634 4.9272 5.8346
-3.3204 3.7757 7.6957
-5.0998 -0.7409 0.2272
```

Material: HoInMo
Method: DFT, GGA-PBE
State: relaxed

Summary:
Polymorph energy (0 for the lowest one): 454 meV/atom

Cell and atoms, written as POSCAR:
```
HoInMo
1.0
2.4467 1.4126 3.9955
-2.4467 1.4126 3.9955
0.0000 -2.8252 3.9955
In Ho Mo
1 1 1
Cartesian
0.0000 0.0000 8.9898
0.0000 0.0000 0.0000
0.0000 0.0000 2.9966
```

Material: RbNdSmSe3
Method: DFT, GGA-PBE
State: relaxed

Cell and atoms, written as POSCAR:
```
RbNdSmSe3
1.0
2.3565 -7.9862 0.0000
2.3565 7.9862 0.0000
0.0000 0.0000 11.3539
Rb Se Sm Nd
2 6 2 2
Cartesian
2.3565 -3.8038 2.8385
2.3565 3.8038 8.5154
2.3565 1.9012 5.2486
2.3565 -1.9012 6.1053
2.3565 6.9018 2.8385
2.3565 -1.9012 10.9255
2.3565 1.9012 0.4284
2.3565 -6.9018 8.5154
0.0000 0.0000 0.0000
0.0000 0.0000 5.6770
2.3565 -0.4548 8.5154
2.3565 0.4548 2.8385
```

Material: NbAg3Se4
Method: DFT, GGA-PBE
State: relaxed

Cell and atoms, written as POSCAR:
```
NbAg3Se4
1.0
5.6215 2.3346 -0.4091
-4.0956 4.5186 -0.1671
-0.5559 -3.0554 5.2512
Se Ag Nb
4 3 1
Cartesian
0.5802 2.2714 2.7961
-0.2234 -1.2280 2.1105
-1.6461 1.8160 -0.0671
2.2593 0.9383 -0.1644
2.5328 -0.3604 2.4210
0.7630 3.4266 -0.2881
-2.3258 0.7316 2.5421
0.0000 0.0000 0.0000
```

Material: InNi15
Method: DFT, GGA-PBE
State: relaxed

Summary:
Polymorph energy (0 for the lowest one): 67 meV/atom

Cell and atoms, written as POSCAR:
```
InNi15
1.0
6.8541 0.0000 0.0000
0.0000 2.5382 0.0000
-0.0018 0.0000 30.2987
Ni In
30 2
Cartesian
2.5587 0.0000 9.5511
2.5687 0.0000 24.3839
2.5702 0.0000 21.9584
5.9956 0.0000 14.5278
2.5692 0.0000 17.0153
0.8564 1.2691 8.2903
6.0068 0.0000 9.5510
4.2814 1.2691 8.3419
5.9971 0.0000 19.5003
5.9970 0.0000 17.0154
4.2811 1.2691 15.7743
4.2698 1.2691 23.2443
4.2828 1.2691 10.7944
0.8566 1.2691 13.2852
0.8583 1.2691 15.7721
2.5698 0.0000 12.0449
0.8591 1.2691 18.2563
4.2826 1.2691 13.2865
5.9960 0.0000 22.0038
4.2914 1.2691 20.7457
0.8476 1.2691 20.7456
5.9966 0.0000 12.0454
4.2833 1.2691 5.9093
5.9834 0.0000 7.0548
0.8562 1.2691 10.7976
2.5689 0.0000 19.5020
4.2800 1.2691 18.2574
2.5808 0.0000 7.0514
0.8695 1.2691 23.2407
2.5708 0.0000 14.5251
0.8523 1.2691 5.3721
5.9990 0.0000 24.9350
```

Number 1: uncorrected energy -5.16 eV per atom. Number 2: uncorrected energy -6.05 eV per atom. Number 3: uncorrected energy -7.63 eV per atom. Number 4: uncorrected energy -5.95 eV per atom. Number 5: uncorrected energy -4.04 eV per atom. Number 6: uncorrected energy -9.16 eV per atom. Number 7: uncorrected energy -5.20 eV per atom. Number 8: uncorrected energy -4.93 eV per atom. Number 9: uncorrected energy -4.97 eV per atom. Number 10: uncorrected energy -4.99 eV per atom. Number 11: uncorrected energy -4.27 eV per atom. Number 12: uncorrected energy -5.28 eV per atom.